Entry 1:
A plane-wave DFT calculation with PBE was carried out for an optimized crystal structure of Sr3Sc2Bi4.

As for the energy of formation: -16.956 kcal/mol of atoms. The calculated total energy comes out at -4.4278 eV per atom.

It has space group C2/m (No. 12), with a = 17.244 Å, b = 4.813 Å, c = 8.170 Å, α = 90.00°, β = 110.26° and γ = 90.00°. The inequivalent atoms are Sr at (0.000, 0.000, 0.000), Sr at (0.127, 0.000, 0.557), Sc at (0.171, 0.500, 0.993), Bi at (0.008, 0.500, 0.720) and Bi at (0.218, 0.000, 0.223).



Entry 2:
A plane-wave DFT calculation with PBE was carried out for an optimized crystal structure of Pr3TmC8.

As for the energy of formation: 3.637 kcal/mol of atoms. The calculated total energy comes out at -7.5590 eV per atom.

It has space group Fmm2 (No. 42), with a = 10.351 Å, b = 10.357 Å, c = 7.655 Å, α = 90.00°, β = 90.00° and γ = 90.00°. The inequivalent atoms are Pr at (0.000, 0.000, 0.000), Pr at (0.250, 0.250, 0.249), Tm at (0.000, 0.000, 0.500), C at (0.000, 0.158, 0.286), C at (0.000, 0.238, 0.879), C at (0.159, 0.000, 0.714) and C at (0.237, 0.000, 0.121).



Entry 3:
A plane-wave DFT calculation with PBE was carried out for an optimized crystal structure of PaOsW2.

As for the energy of formation: 4.648 kcal/mol of atoms. The calculated total energy comes out at -11.4565 eV per atom.

It has space group P4/mmm (No. 123), with a = 2.891 Å, b = 2.891 Å, c = 8.513 Å, α = 90.00°, β = 90.00° and γ = 90.00°. The inequivalent atoms are Pa at (0.000, 0.000, 0.000), Os at (0.000, 0.000, 0.500) and W at (0.500, 0.500, 0.287).



Entry 4:
A plane-wave DFT calculation with PBE was carried out for an optimized crystal structure of Tc4Rh3.

As for the energy of formation: 4.666 kcal/mol of atoms. The calculated total energy comes out at -8.8717 eV per atom.

It has space group P6/mmm (No. 191), with a = 5.0025 Å, b = 5.0025 Å, c = 4.7776 Å, α = 90.00°, β = 90.00° and γ = 120.00°. The inequivalent atoms are Tc at (0.0000, 0.0000, 0.2352), Tc at (0.3333, 0.6667, 0.0000) and Rh at (0.0000, 0.5000, 0.5000).